[1]
First-principles (PBE-GGA) data for crystalline Pm3Pr8Sc2 at its relaxed geometry, as listed in Alexandria.

Cell: 7.848 20.072 5.804 Å, 90.00 90.00 90.00°
Space group Cmmm (No. 65)
Inequivalent atoms, fractional coordinates:
Pm 0.000 0.000 0.000 x2
Pm 0.211 0.500 0.500 x4
Pr 0.000 0.134 0.500 x4
Pr 0.000 0.319 0.500 x4
Pr 0.206 0.388 0.000 x8
Sc 0.000 0.240 0.000 x4

Summary:
- ΔE_f: 0.217 eV per atom
- Polymorph energy (0 for the lowest one): 64 meV per atom



[2]
First-principles (PBE-GGA) data for crystalline BeZnInPd2 at its relaxed geometry, as listed in Alexandria.

Cell: 4.985 4.985 4.843 Å, 90.00 90.00 90.00°
Space group P4/mmm (No. 123)
Inequivalent atoms, fractional coordinates:
Be 0.000 0.000 0.000 x1
Zn 0.500 0.500 0.000 x1
In 0.500 0.500 0.500 x1
Pd 0.000 0.500 0.500 x2

Summary:
- ΔE_f: 1.049 eV per atom
- Polymorph energy (0 for the lowest one): 999 meV per atom



[3]
First-principles (PBE-GGA) data for crystalline Rb3TlHg at its relaxed geometry, as listed in Alexandria.

Cell: 6.869 6.869 6.869 Å, 90.00 90.00 90.00°
Space group Pm-3m (No. 221)
Inequivalent atoms, fractional coordinates:
Rb 0.000 0.000 0.500 x3
Tl 0.500 0.500 0.500 x1
Hg 0.000 0.000 0.000 x1

Summary:
- ΔE_f: 0.071 eV per atom
- Polymorph energy (0 for the lowest one): 138 meV per atom



[4]
First-principles (PBE-GGA) data for crystalline LiTaS2O at its relaxed geometry, as listed in Alexandria.

Cell: 4.640 4.640 6.790 Å, 90.00 90.00 90.00°
Space group P4/mmm (No. 123)
Inequivalent atoms, fractional coordinates:
Li 0.000 0.000 0.000 x1
Ta 0.000 0.000 0.500 x1
S 0.000 0.500 0.500 x2
O 0.500 0.500 0.000 x1



Results for final energy: -124.650, -12.879, -5.215, -25.237 (in eV for the cell shown, following the order of the records).